Entry 1:
Density functional theory data (PBE) for an optimized crystal structure of LaTm6Sn4.

Cell lengths 7.8179, 7.8179, 11.5810 Å; angles 90.00, 90.00, 90.00 degrees
Space group I-42m (No. 121)
One atom of each set of equivalent atoms:
La 0.0000 0.0000 0.0000
Tm 0.0000 0.5000 0.0000
Tm 0.1662 0.1662 0.6848
Sn 0.2055 0.2055 0.4133

Entry 2:
Density functional theory data (PBE) for an optimized crystal structure of AgBiTe3Au.

Cell lengths 8.6530, 4.4440, 9.5090 Å; angles 90.00, 98.55, 90.00 degrees
Space group P2_1/m (No. 11)
One atom of each set of equivalent atoms:
Ag 0.1530 0.2500 0.1598
Bi 0.3414 0.7500 0.8246
Te 0.0915 0.2500 0.8584
Te 0.2241 0.2500 0.4613
Te 0.3888 0.7500 0.1413
Au 0.4035 0.7500 0.4938

Calculated values
Formation energy (no corrections) in eV per formula unit: -0.50

Entry 3:
Density functional theory data (PBE) for an optimized crystal structure of CoTc2.

Cell lengths 2.6551, 2.6551, 11.2222 Å; angles 90.00, 90.00, 90.00 degrees
Space group I4/mmm (No. 139)
One atom of each set of equivalent atoms:
Co 0.0000 0.0000 0.0000
Tc 0.0000 0.0000 0.3406

Calculated values
Distance to the lowest polymorph of the same formula in eV per formula unit: 0.239

Entry 4:
Density functional theory data (PBE) for an optimized crystal structure of NaFeAs.

Cell lengths 3.8700, 16.1922, 3.8912 Å; angles 90.00, 90.00, 90.00 degrees
Space group Cmcm (No. 63)
One atom of each set of equivalent atoms:
Na 0.0000 0.0984 0.2500
Fe 0.0000 0.2498 0.7500
As 0.0000 0.3298 0.2500

Calculated values
Distance to the lowest polymorph of the same formula in eV per formula unit: 0.143

Entry 5:
Density functional theory data (PBE) for an optimized crystal structure of LiPrZn2Pd4.

Cell lengths 4.3650, 4.3650, 24.8509 Å; angles 90.00, 90.00, 120.00 degrees
Space group R-3m (No. 166, hexagonal axes)
One atom of each set of equivalent atoms:
Li 0.0000 0.0000 0.0000
Pr 0.0000 0.0000 0.5000
Zn 0.0000 0.0000 0.2633
Pd 0.0000 0.0000 0.0990
Pd 0.0000 0.0000 0.3710

Entry 6:
Density functional theory data (PBE) for an optimized crystal structure of AgPb2Br5.

Cell lengths 6.0128, 14.1659, 14.5303 Å; angles 90.00, 90.00, 90.00 degrees
Space group Cmcm (No. 63)
One atom of each set of equivalent atoms:
Ag 0.0000 0.2128 0.2500
Pb 0.0000 0.1434 0.5639
Br 0.0000 0.0544 0.1231
Br 0.0000 0.2508 0.7500
Br 0.0000 0.3207 0.0790

Calculated values
Distance to the lowest polymorph of the same formula in eV per formula unit: 0.084
Formation energy (no corrections) in eV per formula unit: -5.87

Entry 7:
Density functional theory data (PBE) for an optimized crystal structure of ZrReBr.

Cell lengths 4.4978, 4.4978, 3.1244 Å; angles 90.00, 90.00, 120.00 degrees
Space group P3m1 (No. 156)
One atom of each set of equivalent atoms:
Zr 0.0000 0.0000 0.0000
Re 0.6667 0.3333 0.5555
Br 0.3333 0.6667 0.5273

Calculated values
Distance to the lowest polymorph of the same formula in eV per formula unit: 0.768
Formation energy (no corrections) in eV per formula unit: 1.19

Entry 8:
Density functional theory data (PBE) for an optimized crystal structure of AgBRhF2.

Cell lengths 3.8892, 3.8892, 5.7097 Å; angles 90.00, 90.00, 90.00 degrees
Space group P4/mmm (No. 123)
One atom of each set of equivalent atoms:
Ag 0.0000 0.0000 0.0000
B 0.5000 0.5000 0.5000
Rh 0.0000 0.0000 0.5000
F 0.0000 0.5000 0.0000

Calculated values
Formation energy (no corrections) in eV per formula unit: 2.84

no.,uncorrected energy (eV/atom),magnetic moment (μB/cell)
1,-4.66,0.02
2,-3.32,0.00
3,-9.19,0.29
4,-5.05,0.00
5,-4.36,0.00
6,-3.06,0.00
7,-7.16,0.00
8,-3.56,0.41